First-principles (PBE) data for a relaxed structure of TcWSe, as listed in Alexandria via LeMat-Bulk.

```
TcWSe
1.0
-3.3565 -1.3237 6.1346
-2.7031 -3.8838 5.0050
1.8037 0.7913 2.0923
Se W Tc
1 1 1
Cartesian
1.7707 0.7661 2.1303 Se
-3.5126 -3.2645 8.2091 W
-0.7103 -1.1266 4.9848 Tc
```

Output
E_tot = -8.392 eV per atom
Theoretical density = 11.75 g/cm³
Relative energy among the computed polymorphs = 356 meV/atom
Crystal system = orthorhombic

First-principles (PBE) data for a relaxed structure of TcW2Se, as listed in Alexandria via LeMat-Bulk.

```
TcW2Se
1.0
-7.0412 -2.7556 -4.3695
-4.9650 -3.4258 -6.3148
-5.5867 -5.2809 -4.1431
W Se Tc
2 1 1
Cartesian
-8.7764 -5.7181 -7.3968 W
-0.0201 -0.0131 -0.0169 W
-13.1947 -8.5967 -11.1205 Se
-4.3982 -2.8656 -3.7068 Tc
```

Output
E_tot = -9.564 eV per atom
Theoretical density = 14.27 g/cm³
Crystal system = trigonal

First-principles (PBE) data for a relaxed structure of TcW2Se, as listed in Alexandria via LeMat-Bulk.

```
TcW2Se
1.0
-0.7316 4.6813 2.1481
-3.8757 2.9728 -1.7906
0.6519 -4.9048 1.6072
W Tc Se
2 1 1
Cartesian
0.0000 0.0000 0.0000 W
-2.3037 3.8271 0.1788 W
-1.1917 1.8018 1.9671 Tc
-2.7637 0.9475 -0.0023 Se
```

Output
E_tot = -9.331 eV per atom
Theoretical density = 14.29 g/cm³
Crystal system = tetragonal

First-principles (PBE) data for a relaxed structure of TcW2Se, as listed in Alexandria via LeMat-Bulk.

```
TcW2Se
1.0
-1.4699 -2.5752 2.9136
-0.6781 -1.9418 -2.0584
4.3210 -3.3513 -0.7822
Se Tc W
1 1 2
Cartesian
0.1758 -2.6109 0.7466 Se
1.9972 -5.2575 -0.6737 Tc
4.2772 -3.3934 -0.8415 W
1.8652 -2.6045 -1.3610 W
```

Output
E_tot = -9.501 eV per atom
Theoretical density = 14.30 g/cm³
Crystal system = monoclinic

First-principles (PBE) data for a relaxed structure of TcW2Se, as listed in Alexandria via LeMat-Bulk.

```
TcW2Se
1.0
4.4861 0.0000 0.0000
2.2430 3.8850 0.0000
2.2430 1.2950 3.6629
W Se Tc
2 1 1
Cartesian
0.0000 0.0000 0.0000 W
2.2430 1.2950 0.9157 W
4.4861 2.5900 1.8314 Se
6.7291 3.8850 2.7471 Tc
```

Output
E_tot = -9.345 eV per atom
Theoretical density = 14.17 g/cm³
Crystal system = cubic

First-principles (PBE) data for a relaxed structure of TcWSe2, as listed in Alexandria via LeMat-Bulk.

```
TcWSe2
1.0
4.6996 -0.0036 0.0015
3.5920 3.0304 0.0015
0.9677 0.3532 6.3087
Se W Tc
2 1 1
Cartesian
8.1583 2.9780 0.7659 Se
6.9193 2.5258 3.9802 Se
2.3428 0.8552 2.0368 W
4.7602 1.7376 2.6879 Tc
```

Output
E_tot = -7.391 eV per atom
Theoretical density = 8.12 g/cm³
Relative energy among the computed polymorphs = 272 meV/atom
Crystal system = monoclinic

First-principles (PBE) data for a relaxed structure of TcW2Se, as listed in Alexandria via LeMat-Bulk.

```
TcW2Se
1.0
-1.7929 -4.3130 1.1845
0.6934 -3.8113 2.8656
-2.7143 0.8476 3.7613
Se Tc W
1 1 2
Cartesian
-1.7903 -3.6605 3.7398 Se
-2.9956 -5.4098 6.0444 Tc
-1.1065 -1.6732 2.1356 W
-2.5425 0.6761 3.5585 W
```

Output
E_tot = -9.565 eV per atom
Theoretical density = 14.29 g/cm³
Crystal system = monoclinic

First-principles (PBE) data for a relaxed structure of Tc2WSe, as listed in Alexandria via LeMat-Bulk.

```
Tc2WSe
1.0
-2.5235 3.4882 -1.0596
-3.0219 1.5048 2.8743
0.6226 3.8876 2.0390
Se Tc W
1 2 1
Cartesian
-2.4614 4.4403 1.9269 Se
0.0000 0.0000 0.0000 Tc
-1.2307 2.2201 0.9634 Tc
-3.6921 6.6604 2.8903 W
```

Output
E_tot = -8.774 eV per atom
Theoretical density = 12.36 g/cm³
Crystal system = cubic

First-principles (PBE) data for a relaxed structure of Tc2WSe, as listed in Alexandria via LeMat-Bulk.

```
Tc2WSe
1.0
-1.6847 -0.3323 -2.4362
-2.8606 -1.8235 2.2269
-2.1993 4.5496 0.9003
Tc Se W
2 1 1
Cartesian
-1.0901 2.2550 0.4462 Tc
-0.0096 0.0198 0.0039 Tc
-3.9221 2.3343 0.5706 Se
-2.8225 0.0595 0.1204 W
```

Output
E_tot = -8.962 eV per atom
Theoretical density = 12.27 g/cm³
Crystal system = orthorhombic

First-principles (PBE) data for a relaxed structure of Tc2WSe, as listed in Alexandria via LeMat-Bulk.

```
Tc2WSe
1.0
3.0794 0.0000 0.0000
0.0000 3.0794 0.0000
0.0000 0.0000 6.4826
Tc Se W
2 1 1
Cartesian
0.0000 0.0000 0.0263 Tc
0.0000 0.0000 3.2150 Tc
1.5397 1.5397 4.8620 Se
1.5397 1.5397 1.6207 W
```

Output
E_tot = -9.195 eV per atom
Theoretical density = 12.39 g/cm³
Crystal system = tetragonal

First-principles (PBE) data for a relaxed structure of TcW3Se, as listed in Alexandria via LeMat-Bulk.

```
TcW3Se
1.0
-1.5958 1.6191 -3.9245
-3.6240 -2.7034 0.3583
-2.2114 3.2619 2.2449
W Tc Se
3 1 1
Cartesian
-1.1057 1.6310 1.1225 W
-1.8120 -1.3517 0.1791 W
-0.7979 0.8095 -1.9623 W
-3.7156 1.0888 -0.6607 Tc
0.0000 0.0000 0.0000 Se
```

Output
E_tot = -8.751 eV per atom
Theoretical density = 12.97 g/cm³
Relative energy among the computed polymorphs = 0 meV/atom
Crystal system = cubic

First-principles (PBE) data for a relaxed structure of TcW2Se, as listed in Alexandria via LeMat-Bulk.

```
TcW2Se
1.0
5.2627 0.0061 -0.0087
4.3713 2.9305 -0.0087
1.9282 0.5878 4.0292
Se W Tc
1 2 1
Cartesian
2.8906 0.8811 1.0029 Se
9.5070 2.8979 0.0476 W
5.9082 1.8009 1.9408 W
8.6717 2.6433 3.0088 Tc
```

Output
E_tot = -9.590 eV per atom
Theoretical density = 14.57 g/cm³
Crystal system = monoclinic

First-principles (PBE) data for a relaxed structure of Tc2WSe, as listed in Alexandria via LeMat-Bulk.

```
Tc2WSe
1.0
5.6827 0.0000 0.0000
0.0000 5.6827 0.0000
2.8413 2.8413 5.4437
W Tc Se
2 4 2
Cartesian
0.0000 0.0000 0.0000 W
5.6827 2.8413 2.7218 W
4.2620 4.2916 4.0828 Tc
4.2325 1.4207 1.3609 Tc
1.4502 4.2620 1.3609 Tc
7.1034 7.0738 4.0828 Tc
2.8413 2.8413 0.0000 Se
2.8413 5.6827 2.7218 Se
```

Output
E_tot = -8.420 eV per atom
Theoretical density = 8.67 g/cm³
Crystal system = tetragonal

First-principles (PBE) data for a relaxed structure of TcW2Se, as listed in Alexandria via LeMat-Bulk.

```
TcW2Se
1.0
-0.6620 0.5873 -2.8401
-3.9921 -0.9323 0.7377
-0.9202 4.9140 1.2306
Tc Se W
1 1 2
Cartesian
-3.0215 3.5362 -0.1225 Tc
-0.4645 2.4805 0.6212 Se
-2.5478 1.0068 -0.7559 W
-0.0005 0.0025 0.0006 W
```

Output
E_tot = -9.516 eV per atom
Theoretical density = 14.18 g/cm³
Crystal system = orthorhombic

First-principles (PBE) data for a relaxed structure of TcWSe2, as listed in Alexandria via LeMat-Bulk.

```
TcWSe2
1.0
-1.4604 2.7999 0.0300
0.5884 -1.5578 -2.6833
-7.2040 -3.7640 0.6054
Se W Tc
2 1 1
Cartesian
-0.0253 -0.0132 0.0021 Se
-3.5767 -1.8688 0.3006 Se
-5.8390 -2.2019 -0.8726 W
-2.2370 -0.3200 -1.1753 Tc
```

Output
E_tot = -6.811 eV per atom
Theoretical density = 10.61 g/cm³
Relative energy among the computed polymorphs = 852 meV/atom
Crystal system = orthorhombic

First-principles (PBE) data for a relaxed structure of TcWSe2, as listed in Alexandria via LeMat-Bulk.

```
TcWSe2
1.0
5.6641 0.0000 0.0000
0.0000 5.6641 0.0000
2.8320 2.8320 5.4989
Se Tc W
4 2 2
Cartesian
1.4507 4.2480 1.3747 Se
7.0801 7.0454 4.1242 Se
4.2133 1.4160 1.3747 Se
4.2480 4.2828 4.1242 Se
2.8320 5.6641 2.7495 Tc
2.8320 2.8320 0.0000 Tc
5.6641 2.8320 2.7495 W
0.0000 0.0000 0.0000 W
```

Output
E_tot = -6.964 eV per atom
Theoretical density = 8.28 g/cm³
Relative energy among the computed polymorphs = 699 meV/atom
Crystal system = tetragonal

First-principles (PBE) data for a relaxed structure of TcW3Se, as listed in Alexandria via LeMat-Bulk.

```
TcW3Se
1.0
4.7342 0.0000 0.0000
0.0000 4.7342 0.0000
0.0000 0.0000 4.7342
Tc Se W
1 1 3
Cartesian
0.0000 0.0000 0.0000 Tc
2.3671 2.3671 2.3671 Se
2.3671 0.0000 0.0000 W
0.0000 2.3671 0.0000 W
0.0000 0.0000 2.3671 W
```

Output
E_tot = -8.496 eV per atom
Theoretical density = 11.40 g/cm³
Relative energy among the computed polymorphs = 255 meV/atom
Crystal system = cubic

First-principles (PBE) data for a relaxed structure of TcW2Se, as listed in Alexandria via LeMat-Bulk.

```
TcW2Se
1.0
2.8157 0.0008 0.0000
-1.0354 2.6185 0.0000
0.0000 0.0000 8.8805
Tc W Se
1 2 1
Cartesian
0.8902 1.3096 6.7738 Tc
0.8902 1.3096 2.1630 W
0.0000 0.0000 8.8527 W
0.0000 0.0000 4.4118 Se
```

Output
E_tot = -9.482 eV per atom
Theoretical density = 13.81 g/cm³
Crystal system = orthorhombic

First-principles (PBE) data for a relaxed structure of Tc2WSe, as listed in Alexandria via LeMat-Bulk.

```
Tc2WSe
1.0
-1.4756 -1.7127 -3.4105
-2.1840 -1.1702 1.5326
-4.1786 3.5078 0.0464
Tc W Se
2 1 1
Cartesian
-6.0692 2.4597 1.3908 Tc
-3.4747 1.0467 0.9778 Tc
-2.3285 -0.2719 -1.3105 W
-5.5098 0.8969 -0.5210 Se
```

Output
E_tot = -8.947 eV per atom
Theoretical density = 12.37 g/cm³
Crystal system = monoclinic

First-principles (PBE) data for a relaxed structure of TcWSe2, as listed in Alexandria via LeMat-Bulk.

```
TcWSe2
1.0
5.1537 -0.0092 0.0068
1.2231 5.0065 -0.0068
-2.1264 -3.8538 2.6809
Se W Tc
2 1 1
Cartesian
3.2026 2.5097 0.0000 Se
6.3626 4.9862 0.0000 Se
1.1425 1.8257 1.3371 W
3.1079 -0.6822 1.3439 Tc
```

Output
E_tot = -6.818 eV per atom
Theoretical density = 10.57 g/cm³
Relative energy among the computed polymorphs = 845 meV/atom
Crystal system = orthorhombic

First-principles (PBE) data for a relaxed structure of TcW2Se, as listed in Alexandria via LeMat-Bulk.

```
TcW2Se
1.0
-2.4703 0.2980 -1.8170
1.4381 -1.5864 -2.2154
-2.4927 -5.6894 2.4560
Tc Se W
1 1 2
Cartesian
-2.4207 -4.9912 -0.1397 Tc
-1.2218 -2.7886 1.2038 Se
-1.1549 -2.1023 -1.3867 W
-2.4666 -5.6297 2.4302 W
```

Output
E_tot = -9.720 eV per atom
Theoretical density = 14.26 g/cm³
Crystal system = tetragonal

First-principles (PBE) data for a relaxed structure of Tc2WSe, as listed in Alexandria via LeMat-Bulk.

```
Tc2WSe
1.0
-0.3754 1.9100 3.6716
1.5892 -2.0768 1.2428
5.1564 1.5381 -0.2729
Se Tc W
1 2 1
Cartesian
5.1624 0.1081 2.8233 Se
6.3647 -0.0940 0.6997 Tc
1.4182 1.0455 1.9529 Tc
3.5433 -0.4963 0.6204 W
```

Output
E_tot = -9.017 eV per atom
Theoretical density = 12.31 g/cm³
Crystal system = monoclinic

First-principles (PBE) data for a relaxed structure of TcW2Se, as listed in Alexandria via LeMat-Bulk.

```
TcW2Se
1.0
5.3093 0.0066 0.0198
-2.2996 4.4513 -0.0049
0.7101 0.9052 2.6967
W Tc Se
2 1 1
Cartesian
0.0000 0.0000 0.0000 W
3.0097 0.4559 1.3583 W
1.5049 2.2290 0.0074 Tc
-0.7948 2.6783 1.3459 Se
```

Output
E_tot = -9.388 eV per atom
Theoretical density = 14.20 g/cm³
Crystal system = monoclinic

First-principles (PBE) data for a relaxed structure of TcWSe2, as listed in Alexandria via LeMat-Bulk.

```
TcWSe2
1.0
1.7990 0.0000 8.4534
-0.8995 1.5580 8.4534
-0.8995 -1.5580 8.4534
W Tc Se
1 1 2
Cartesian
0.0000 0.0000 12.6802 W
0.0000 0.0000 0.0000 Tc
0.0000 0.0000 2.4064 Se
0.0000 0.0000 22.9539 Se
```

Output
E_tot = -7.265 eV per atom
Theoretical density = 10.27 g/cm³
Relative energy among the computed polymorphs = 398 meV/atom
Crystal system = trigonal

First-principles (PBE) data for a relaxed structure of TcW2Se, as listed in Alexandria via LeMat-Bulk.

```
TcW2Se
1.0
-1.8759 3.7462 1.9334
-3.3517 -1.0221 -1.2717
-0.6042 -1.9214 3.1367
W Se Tc
2 1 1
Cartesian
0.0000 0.0000 0.0000 W
-1.9780 -1.4717 0.9325 W
-2.6138 1.3621 0.3309 Se
-1.2401 0.9124 2.5351 Tc
```

Output
E_tot = -9.231 eV per atom
Theoretical density = 14.10 g/cm³
Crystal system = tetragonal

First-principles (PBE) data for a relaxed structure of TcW2Se5, as listed in Alexandria via LeMat-Bulk.

```
TcW2Se5
1.0
4.9116 -0.1998 2.3246
-1.5178 6.0118 3.7238
-0.2213 -0.0859 7.0729
Se Tc W
5 1 2
Cartesian
2.9598 0.2044 3.9603 Se
0.1425 4.2828 10.2287 Se
4.1276 0.8013 7.4130 Se
0.7986 1.6840 8.6190 Se
2.1083 3.5769 6.0493 Se
-1.4272 5.9437 3.8707 Tc
3.8908 1.9967 5.3866 W
0.9452 5.7493 5.1517 W
```

Output
E_tot = -6.551 eV per atom
Theoretical density = 6.75 g/cm³
Crystal system = monoclinic

First-principles (PBE) data for a relaxed structure of YTc2Se, as listed in Alexandria via LeMat-Bulk.

```
YTc2Se
1.0
-2.1962 4.9993 0.1196
-5.2311 0.3295 1.5356
5.0312 -1.5401 1.4649
Y Se Tc
1 1 2
Cartesian
-3.6994 2.6542 0.8244 Y
-1.7726 0.5948 1.8730 Se
-0.6129 3.1864 1.2447 Tc
-0.0248 0.0178 0.0055 Tc
```

Output
E_tot = -7.616 eV per atom
Theoretical density = 8.46 g/cm³
Crystal system = orthorhombic

First-principles (PBE) data for a relaxed structure of YTcSe, as listed in Alexandria via LeMat-Bulk.

```
YTcSe
1.0
-0.7575 4.4480 -0.0177
-3.4601 1.7086 2.3382
0.7737 2.4351 3.7189
Tc Y Se
1 1 1
Cartesian
0.0000 0.0000 0.0000 Tc
-1.7220 4.2958 3.0197 Y
-2.5829 6.4437 4.5296 Se
```

Output
E_tot = -6.922 eV per atom
Theoretical density = 6.80 g/cm³
Relative energy among the computed polymorphs = 315 meV/atom
Crystal system = cubic

First-principles (PBE) data for a relaxed structure of YTcSe, as listed in Alexandria via LeMat-Bulk.

```
YTcSe
1.0
-2.5396 1.9532 3.3916
-3.3141 -2.4783 2.1547
0.5978 -1.3406 4.4287
Tc Y Se
1 1 1
Cartesian
-2.6279 -0.9328 4.9875 Tc
-3.9419 -1.3993 7.4813 Y
0.0000 0.0000 0.0000 Se
```

Output
E_tot = -6.259 eV per atom
Theoretical density = 6.15 g/cm³
Relative energy among the computed polymorphs = 978 meV/atom
Crystal system = cubic

First-principles (PBE) data for a relaxed structure of YTcSe3, as listed in Alexandria via LeMat-Bulk.

```
YTcSe3
1.0
-0.2221 2.8577 -4.0331
-4.2892 1.8950 1.5789
2.4566 3.5671 2.3922
Se Y Tc
3 1 1
Cartesian
-0.1110 1.4289 -2.0165 Se
1.2283 1.7835 1.1961 Se
-2.1446 0.9475 0.7895 Se
-1.0274 4.1599 -0.0310 Y
0.0000 0.0000 0.0000 Tc
```

Output
E_tot = -5.808 eV per atom
Theoretical density = 5.81 g/cm³
Relative energy among the computed polymorphs = 0 meV/atom
Crystal system = cubic

In order of appearance, total magnetization = 0.00 0.00 0.00 0.00 0.00 0.00 0.00 0.00 0.00 0.00 0.00 0.00 0.00 0.00 0.00 2.40 0.00 0.00 0.00 0.00 0.00 0.00 0.00 0.00 0.00 0.00 0.00 1.81 0.68 2.40 μB/cell.
In order of appearance, energy relative to the elements, uncorrected = 157 145 235 169 229 70 144 200 127 38 864 135 337 163 294 235 987 177 133 291 85 106 213 119 273 124 21 -44 148 -169 kJ/mol of formula units.